Entry 1:
A plane-wave DFT calculation with PBE was carried out for a relaxed Cd2InCo crystal.

```
data_Cd2InCo
_chemical_formula_sum 'Cd4 In2 Co2'
_cell_length_a 4.035
_cell_length_b 4.035
_cell_length_c 9.057
_cell_angle_alpha 90.00
_cell_angle_beta 90.00
_cell_angle_gamma 90.00
_symmetry_space_group_name_H-M 'I 4/m m m'
_symmetry_Int_Tables_number 139
_symmetry_space_group_name_Hall '-I 4 2'
loop_
_atom_site_label
_atom_site_type_symbol
_atom_site_fract_x
_atom_site_fract_y
_atom_site_fract_z
Cd1 Cd 0.000 0.500 0.250
In1 In 0.000 0.000 0.000
Co1 Co 0.000 0.000 0.500
```

## Properties
Final energy = -10.69 eV per formula unit
DFT formation energy = 1.0 eV/f.u.
Fermi-level density of states = 0.579 states/eV/atom
Total magnetization = 0.003 Bohr magnetons per cell

---

Entry 2:
A plane-wave DFT calculation with PBE was carried out for a relaxed CdInCo2 crystal.

```
data_CdInCo2
_chemical_formula_sum 'Cd1 In1 Co2'
_cell_length_a 3.011
_cell_length_b 4.145
_cell_length_c 5.388
_cell_angle_alpha 90.00
_cell_angle_beta 105.99
_cell_angle_gamma 90.00
_symmetry_space_group_name_H-M 'P 1 m 1'
_symmetry_Int_Tables_number 6
loop_
_symmetry_equiv_pos_as_xyz
'x,y,z'
'x,-y,z'
loop_
_atom_site_label
_atom_site_type_symbol
_atom_site_fract_x
_atom_site_fract_y
_atom_site_fract_z
Cd1 Cd 0.000 0.000 0.000
In1 In 0.327 0.500 0.658
Co1 Co 0.609 0.500 0.220
Co2 Co 0.717 0.000 0.439
```

## Properties
Final energy = -16.77 eV per formula unit
DFT formation energy = 1.1 eV/f.u.
Fermi-level density of states = 0.806 states/eV/atom
Total magnetization = 2.668 Bohr magnetons per cell

---

Entry 3:
A plane-wave DFT calculation with PBE was carried out for a relaxed La2CdInCo crystal.

```
data_La2CdInCo
_chemical_formula_sum 'La2 Cd1 In1 Co1'
_cell_length_a 5.244
_cell_length_b 5.244
_cell_length_c 5.045
_cell_angle_alpha 90.00
_cell_angle_beta 90.00
_cell_angle_gamma 90.00
_symmetry_space_group_name_H-M 'P 4/m m m'
_symmetry_Int_Tables_number 123
_symmetry_space_group_name_Hall '-P 4 2'
loop_
_atom_site_label
_atom_site_type_symbol
_atom_site_fract_x
_atom_site_fract_y
_atom_site_fract_z
La1 La 0.000 0.500 0.000
Cd1 Cd 0.000 0.000 0.500
In1 In 0.500 0.500 0.500
Co1 Co 0.500 0.500 0.000
```

## Properties
Final energy = -22.12 eV per formula unit
DFT formation energy = -1.5 eV/f.u.
Fermi-level density of states = 1.007 states/eV/atom
Total magnetization = 0.000 Bohr magnetons per cell

---

Entry 4:
A plane-wave DFT calculation with PBE was carried out for a relaxed LaCdIn2Co crystal.

```
data_LaCdIn2Co
_chemical_formula_sum 'La1 Cd1 In2 Co1'
_cell_length_a 5.065
_cell_length_b 5.065
_cell_length_c 5.009
_cell_angle_alpha 90.00
_cell_angle_beta 90.00
_cell_angle_gamma 90.00
_symmetry_space_group_name_H-M 'P 4/m m m'
_symmetry_Int_Tables_number 123
_symmetry_space_group_name_Hall '-P 4 2'
loop_
_atom_site_label
_atom_site_type_symbol
_atom_site_fract_x
_atom_site_fract_y
_atom_site_fract_z
La1 La 0.000 0.000 0.000
Cd1 Cd 0.500 0.500 0.000
In1 In 0.000 0.500 0.500
Co1 Co 0.000 0.000 0.500
```

## Properties
Final energy = -19.74 eV per formula unit
DFT formation energy = -1.3 eV/f.u.
Fermi-level density of states = 0.483 states/eV/atom
Total magnetization = 0.000 Bohr magnetons per cell

---

Question: Look up the final energy of the second one.
Answer: -16.77 eV per formula unit

---

Question: Which formula does entry 2 have?
Answer: CdInCo2

---

Question: What is the formula in the first record?
Answer: Cd2InCo

---

Question: What is the final energy in the third record?
Answer: -22.12 eV per formula unit